Below is Pm3Sm7Tm after structural relaxation, with properties calculated at the GGA-PBE level.

Unit cell a=5.9281 b=8.5409 c=8.5409 alpha=82.94 beta=110.29 gamma=110.29
Last column: nearest neighbours and their distance in Å.
Sites, in units of the cell vectors:
Pm1 0.0000 0.7906 0.2094  5 Sm 3.29-3.57
Pm2 0.5000 0.0000 0.0000  4 Sm 3.22
Pm3 0.0000 0.2094 0.7906  5 Sm 3.29-3.57
Sm1 0.2100 0.2093 0.2093  1 Tm 3.30, 2 Pm 3.35, 2 Sm 3.49
Sm2 0.3033 0.0093 0.5976  2 Pm 3.22-3.57, 3 Sm 3.35-3.49
Sm3 0.6967 0.4024 0.9907  2 Pm 3.22-3.57, 3 Sm 3.35-3.49
Sm4 0.3033 0.5976 0.0093  2 Pm 3.22-3.57, 3 Sm 3.35-3.49
Sm5 0.0000 0.5000 0.5000  2 Tm 2.96, 2 Pm 3.29
Sm6 0.6967 0.9907 0.4024  2 Pm 3.22-3.57, 3 Sm 3.35-3.49
Sm7 0.7900 0.7907 0.7907  1 Tm 3.30, 2 Pm 3.35, 2 Sm 3.49
Tm1 0.5000 0.5000 0.5000  4 Sm 2.96-3.30

Results
Size of the total moment (μB/f.u.): 0.05
ΔE_f (eV per atom): 0.25
ΔE to the lowest computed polymorph (eV/atom): 0.1001
Symmetry: No. 71
V (Å³ per cell): 380.4

***

Below is Pm2Sm7Tm2 after structural relaxation, with properties calculated at the GGA-PBE level.

Unit cell a=9.5638 b=6.8960 c=6.8960 alpha=122.48 beta=90.01 gamma=89.99
Last column: nearest neighbours and their distance in Å.
Sites, in units of the cell vectors:
Pm1 0.0000 0.7319 0.2681  7 Sm 3.24-3.48, 2 Pm 3.35
Pm2 0.0000 0.2681 0.7319  7 Sm 3.24-3.48, 2 Pm 3.35
Sm1 0.6816 0.0000 0.5000  5 Sm 3.32-3.69, 2 Pm 3.47-3.48, 2 Tm 3.49
Sm2 0.3184 0.5000 0.0000  5 Sm 3.32-3.69, 2 Pm 3.47-3.48, 2 Tm 3.49
Sm3 0.3184 0.0000 0.5000  5 Sm 3.32-3.69, 2 Pm 3.47-3.48, 2 Tm 3.49
Sm4 0.6816 0.5000 0.0000  5 Sm 3.32-3.69, 2 Pm 3.47-3.48, 2 Tm 3.49
Sm5 0.0000 0.0000 0.0000  2 Pm 3.24
Sm6 0.1807 0.5000 0.5000  2 Pm 3.29, 1 Sm 3.46, 2 Tm 3.47
Sm7 0.8193 0.5000 0.5000  2 Pm 3.29, 1 Sm 3.46, 2 Tm 3.47
Tm1 0.5000 0.7493 0.7493  2 Tm 3.31-3.33, 6 Sm 3.47-3.49
Tm2 0.5000 0.2507 0.2507  2 Tm 3.31-3.33, 6 Sm 3.47-3.49

Results
Size of the total moment (μB/f.u.): 0.00
ΔE_f (eV per atom): 0.34
ΔE to the lowest computed polymorph (eV/atom): 0.0046
Symmetry: No. 65
V (Å³ per cell): 383.7

***

Below is PmSm7Tm3 after structural relaxation, with properties calculated at the GGA-PBE level.

Unit cell a=9.9011 b=9.9011 c=11.3001 alpha=90.00 beta=90.00 gamma=138.26
Last column: nearest neighbours and their distance in Å.
Sites, in units of the cell vectors:
Pm1 0.5000 0.5000 0.0000  10 Sm 3.39-3.71, 2 Tm 3.53
Pm2 0.5000 0.5000 0.5000  10 Sm 3.39-3.71, 2 Tm 3.53
Sm1 0.6648 0.8404 0.2500  3 Sm 3.25-3.45, 2 Tm 3.47-3.49
Sm2 0.1596 0.3352 0.7500  3 Sm 3.25-3.45, 2 Tm 3.47-3.49
Sm3 0.4122 0.0870 0.4702  4 Sm 3.30-3.60, 3 Tm 3.45-3.50, 1 Pm 3.51
Sm4 0.4122 0.0870 0.0298  4 Sm 3.30-3.60, 3 Tm 3.45-3.50, 1 Pm 3.51
Sm5 0.9130 0.5878 0.9702  4 Sm 3.30-3.60, 3 Tm 3.45-3.50, 1 Pm 3.51
Sm6 0.9130 0.5878 0.5298  4 Sm 3.30-3.60, 3 Tm 3.45-3.50, 1 Pm 3.51
Sm7 0.7659 0.7659 0.7500  2 Tm 3.27, 2 Pm 3.39
Sm8 0.2341 0.2341 0.2500  2 Tm 3.27, 2 Pm 3.39
Sm9 0.0870 0.4122 0.0298  4 Sm 3.30-3.60, 3 Tm 3.45-3.50, 1 Pm 3.51
Sm10 0.0870 0.4122 0.4702  4 Sm 3.30-3.60, 3 Tm 3.45-3.50, 1 Pm 3.51
Sm11 0.5878 0.9130 0.9702  4 Sm 3.30-3.60, 3 Tm 3.45-3.50, 1 Pm 3.51
Sm12 0.5878 0.9130 0.5298  4 Sm 3.30-3.60, 3 Tm 3.45-3.50, 1 Pm 3.51
Sm13 0.8404 0.6648 0.2500  3 Sm 3.25-3.45, 2 Tm 3.47-3.49
Sm14 0.3352 0.1596 0.7500  3 Sm 3.25-3.45, 2 Tm 3.47-3.49
Tm1 0.7512 0.2513 0.7500  6 Sm 3.45-3.49, 2 Tm 3.53
Tm2 0.0000 0.0000 0.0000  6 Sm 3.27-3.50, 2 Pm 3.53
Tm3 0.0000 0.0000 0.5000  6 Sm 3.27-3.50, 2 Pm 3.53
Tm4 0.7487 0.2488 0.2500  6 Sm 3.45-3.49, 2 Tm 3.53
Tm5 0.2513 0.7512 0.7500  6 Sm 3.45-3.49, 2 Tm 3.53
Tm6 0.2488 0.7487 0.2500  6 Sm 3.45-3.49, 2 Tm 3.53

Results
Size of the total moment (μB/f.u.): 0.00
ΔE_f (eV per atom): 0.15
ΔE to the lowest computed polymorph (eV/atom): 0.0000
Symmetry: No. 63
V (Å³ per cell): 737.5

***

Below is PmSm8Tm5 after structural relaxation, with properties calculated at the GGA-PBE level.

Unit cell a=8.4939 b=8.4947 c=8.4939 alpha=111.53 beta=105.43 gamma=111.53
Last column: nearest neighbours and their distance in Å.
Sites, in units of the cell vectors:
Pm1 0.2500 0.5000 0.7500  4 Sm 3.22
Sm1 0.1628 0.7347 0.0767  4 Tm 3.17-3.48, 1 Pm 3.22
Sm2 0.9234 0.0861 0.6579  4 Tm 3.17-3.48, 1 Pm 3.22
Sm3 0.7258 0.2564 0.3306  5 Tm 3.35-3.58, 3 Sm 3.58-3.62
Sm4 0.6695 0.3953 0.9258  5 Tm 3.35-3.58, 3 Sm 3.58-3.62
Sm5 0.5306 0.6047 0.2742  5 Tm 3.35-3.58, 3 Sm 3.58-3.62
Sm6 0.5718 0.9139 0.8373  4 Tm 3.17-3.48, 1 Pm 3.22
Sm7 0.3420 0.2653 0.4281  4 Tm 3.17-3.48, 1 Pm 3.22
Sm8 0.0741 0.7436 0.4694  5 Tm 3.35-3.58, 3 Sm 3.58-3.62
Tm1 0.0383 0.3154 0.1318  8 Sm 3.36-3.58, 2 Tm 3.48
Tm2 0.8682 0.9064 0.1835  8 Sm 3.36-3.58, 2 Tm 3.48
Tm3 0.8164 0.6846 0.7229  8 Sm 3.36-3.58, 2 Tm 3.48
Tm4 0.5000 0.0000 0.5000  8 Sm 3.17-3.35
Tm5 0.2771 0.0936 0.9617  8 Sm 3.36-3.58, 2 Tm 3.48

Results
Size of the total moment (μB/f.u.): 0.00
ΔE_f (eV per atom): 0.25
Symmetry: No. 82
V (Å³ per cell): 470.1

***

Below is Pm7Sm3Tm2 after structural relaxation, with properties calculated at the GGA-PBE level.

Unit cell a=5.6249 b=6.2780 c=12.1855 alpha=91.85 beta=90.02 gamma=89.53
Last column: nearest neighbours and their distance in Å.
Sites, in units of the cell vectors:
Pm1 0.4930 0.2438 0.4507  2 Tm 3.24-3.38, 3 Pm 3.32-3.53
Pm2 0.5070 0.7562 0.5493  2 Tm 3.24-3.38, 3 Pm 3.32-3.53
Pm3 0.9998 0.4400 0.1869  2 Tm 3.22-3.24, 3 Pm 3.52-3.58, 1 Sm 3.56
Pm4 0.0000 0.0000 0.0000  6 Pm 3.52
Pm5 0.0002 0.5600 0.8131  2 Tm 3.22-3.24, 3 Pm 3.52-3.58, 1 Sm 3.56
Pm6 0.5008 0.9079 0.8308  2 Tm 3.26-3.56, 2 Sm 3.34-3.63, 5 Pm 3.52-3.58
Pm7 0.4992 0.0921 0.1692  2 Tm 3.26-3.56, 2 Sm 3.34-3.63, 5 Pm 3.52-3.58
Sm1 0.5000 0.5000 0.0000  6 Pm 3.34-3.65, 2 Tm 3.46
Sm2 0.9983 0.9352 0.3386  2 Tm 3.48-3.49, 6 Pm 3.56-3.72
Sm3 0.0017 0.0648 0.6614  2 Tm 3.48-3.49, 6 Pm 3.56-3.72
Tm1 0.4996 0.6255 0.2783  6 Pm 3.22-3.56, 3 Sm 3.46-3.49
Tm2 0.5004 0.3745 0.7217  6 Pm 3.22-3.56, 3 Sm 3.46-3.49

Results
Size of the total moment (μB/f.u.): 0.00
ΔE_f (eV per atom): 0.28
ΔE to the lowest computed polymorph (eV/atom): 0.1855
Symmetry: No. 2
V (Å³ per cell): 430.1

***

Below is Pm5Sm12Tm2 after structural relaxation, with properties calculated at the GGA-PBE level.

Unit cell a=6.2372 b=10.7239 c=10.7239 alpha=66.47 beta=79.26 gamma=79.26
Last column: nearest neighbours and their distance in Å.
Sites, in units of the cell vectors:
Pm1 0.4456 0.2154 0.2154  8 Sm 3.48-3.70, 3 Pm 3.56-3.80
Pm2 0.8584 0.3238 0.3238  6 Sm 3.40-3.76, 2 Pm 3.56-3.74
Pm3 0.5000 0.0000 0.0000  6 Sm 3.36-3.49
Pm4 0.1416 0.6762 0.6762  6 Sm 3.40-3.76, 2 Pm 3.56-3.74
Pm5 0.5544 0.7846 0.7846  8 Sm 3.48-3.70, 3 Pm 3.56-3.80
Sm1 0.9988 0.8810 0.8810  4 Pm 3.36-3.58, 2 Sm 3.42, 2 Tm 3.45
Sm2 0.1984 0.5489 0.0587  5 Sm 3.41-3.63, 1 Tm 3.47, 3 Pm 3.48-3.70
Sm3 0.1984 0.0587 0.5489  5 Sm 3.41-3.63, 1 Tm 3.47, 3 Pm 3.48-3.70
Sm4 0.6186 0.6442 0.1503  1 Tm 3.33, 3 Pm 3.40-3.67, 5 Sm 3.41-3.65
Sm5 0.6186 0.1503 0.6442  1 Tm 3.33, 3 Pm 3.40-3.67, 5 Sm 3.41-3.65
Sm6 0.2737 0.4470 0.4470  4 Sm 3.52-3.74, 2 Tm 3.63, 2 Pm 3.76-3.82
Sm7 0.7263 0.5530 0.5530  4 Sm 3.52-3.74, 2 Tm 3.63, 2 Pm 3.76-3.82
Sm8 0.3814 0.3558 0.8497  1 Tm 3.33, 3 Pm 3.40-3.67, 5 Sm 3.41-3.65
Sm9 0.3814 0.8497 0.3558  1 Tm 3.33, 3 Pm 3.40-3.67, 5 Sm 3.41-3.65
Sm10 0.8016 0.4511 0.9413  5 Sm 3.41-3.63, 1 Tm 3.47, 3 Pm 3.48-3.70
Sm11 0.8016 0.9413 0.4511  5 Sm 3.41-3.63, 1 Tm 3.47, 3 Pm 3.48-3.70
Sm12 0.0012 0.1190 0.1190  4 Pm 3.36-3.58, 2 Sm 3.42, 2 Tm 3.45
Tm1 0.0000 0.2301 0.7699  8 Sm 3.33-3.63
Tm2 0.0000 0.7699 0.2301  8 Sm 3.33-3.63

Results
Size of the total moment (μB/f.u.): 0.00
ΔE_f (eV per atom): 0.10
ΔE to the lowest computed polymorph (eV/atom): 0.0000
Symmetry: No. 12
V (Å³ per cell): 641.1

***

Below is PmSm5Tm after structural relaxation, with properties calculated at the GGA-PBE level.

Unit cell a=3.6517 b=9.4303 c=14.1642 alpha=104.90 beta=90.00 gamma=90.00
Last column: nearest neighbours and their distance in Å.
Sites, in units of the cell vectors:
Pm1 0.7500 0.1035 0.1148  5 Sm 3.41-3.71, 2 Tm 3.50, 4 Pm 3.65-3.80
Pm2 0.2500 0.8965 0.8852  5 Sm 3.41-3.71, 2 Tm 3.50, 4 Pm 3.65-3.80
Sm1 0.2500 0.0084 0.3796  1 Tm 3.55, 10 Sm 3.64-3.95
Sm2 0.7500 0.1978 0.8760  3 Pm 3.41-3.71, 8 Sm 3.44-3.65
Sm3 0.7500 0.3347 0.5090  3 Tm 3.46-3.53, 8 Sm 3.49-3.68
Sm4 0.2500 0.4098 0.0767  1 Tm 3.43, 9 Sm 3.53-3.65, 2 Pm 3.57
Sm5 0.2500 0.3519 0.7217  10 Sm 3.44-3.80, 2 Tm 3.54
Sm6 0.7500 0.6481 0.2783  10 Sm 3.44-3.80, 2 Tm 3.54
Sm7 0.7500 0.5902 0.9233  1 Tm 3.43, 9 Sm 3.53-3.65, 2 Pm 3.57
Sm8 0.2500 0.6653 0.4910  3 Tm 3.46-3.53, 8 Sm 3.49-3.68
Sm9 0.2500 0.8022 0.1240  3 Pm 3.41-3.71, 8 Sm 3.44-3.65
Sm10 0.7500 0.9916 0.6204  1 Tm 3.55, 10 Sm 3.64-3.95
Tm1 0.2500 0.3377 0.3023  7 Sm 3.43-3.55, 2 Pm 3.50, 2 Tm 3.65
Tm2 0.7500 0.6623 0.6977  7 Sm 3.43-3.55, 2 Pm 3.50, 2 Tm 3.65

Results
Size of the total moment (μB/f.u.): 0.00
ΔE_f (eV per atom): 0.07
ΔE to the lowest computed polymorph (eV/atom): 0.0000
Symmetry: No. 11
V (Å³ per cell): 471.4

***

Below is Pm3Sm6Tm after structural relaxation, with properties calculated at the GGA-PBE level.

Unit cell a=6.7926 b=9.2108 c=6.6931 alpha=105.58 beta=120.49 gamma=90.00
Last column: nearest neighbours and their distance in Å.
Sites, in units of the cell vectors:
Pm1 0.9277 0.3289 0.8554  2 Pm 3.07-3.38, 2 Sm 3.21
Pm2 0.0723 0.6711 0.1446  2 Pm 3.07-3.38, 2 Sm 3.21
Pm3 0.0000 0.0000 0.0000  4 Sm 3.38, 2 Pm 3.38
Sm1 0.4302 0.3022 0.3774  3 Pm 3.21-3.50, 3 Sm 3.28-3.51
Sm2 0.0527 0.6978 0.6226  3 Pm 3.21-3.50, 3 Sm 3.28-3.51
Sm3 0.5698 0.6978 0.6226  3 Pm 3.21-3.50, 3 Sm 3.28-3.51
Sm4 0.9473 0.3022 0.3774  3 Pm 3.21-3.50, 3 Sm 3.28-3.51
Sm5 0.3760 0.0823 0.7520  7 Sm 3.63-3.95, 1 Tm 3.66, 4 Pm 3.85-4.03
Sm6 0.6240 0.9177 0.2480  7 Sm 3.63-3.95, 1 Tm 3.66, 4 Pm 3.85-4.03
Tm1 0.5000 0.5000 0.0000  10 Sm 3.66-3.85, 4 Pm 3.73

Results
Size of the total moment (μB/f.u.): 0.00
ΔE_f (eV per atom): 0.22
ΔE to the lowest computed polymorph (eV/atom): 0.0824
Symmetry: No. 12
V (Å³ per cell): 342.9

***

| no. | theoretical density (Mg/m³) | raw total energy (Ry per atom) |
| --- | --- | --- |
| 1 | 7.23 | -0.328 |
| 2 | 7.27 | -0.319 |
| 3 | 7.67 | -0.331 |
| 4 | 7.75 | -0.322 |
| 5 | 6.97 | -0.325 |
| 6 | 7.43 | -0.338 |
| 7 | 7.51 | -0.340 |
| 8 | 7.29 | -0.329 |